## Sc2TcH6 (PBE)

Data for a relaxed structure of Sc2TcH6.

The space group is Fm-3m (No. 225) and the conventional cell measures 6.6723, 6.6723 and 6.6723 Å, with angles of 90.00, 90.00 and 90.00 degrees. The inequivalent atoms are Sc at (0.2500, 0.2500, 0.2500), Tc at (0.0000, 0.0000, 0.0000) and H at (0.0000, 0.0000, 0.2636).

As for the calculated total energy: -5.3037 eV/atom. The total magnetization is 0.00 μB per cell.